DFT (PBE-GGA) results for crystalline Y4Co3Mo2N3 at its relaxed geometry.

Calculated values
As for the theoretical density: 7.08 g cm⁻³. The total energy comes out at -8.313 eV per atom.

CIF file:
```
data_Y4Co3Mo2N3
_chemical_formula_sum 'Y16 Co12 Mo8 N12'
_space_group_name_H-M_alt 'C 1 2/c 1'
_space_group_IT_number 15
_space_group_name_Hall '-C 2yc'
_cell_length_a 9.637
_cell_length_b 5.626
_cell_length_c 13.566
_cell_angle_alpha 90.00
_cell_angle_beta 102.17
_cell_angle_gamma 90.00
loop_
_atom_site_label
_atom_site_type_symbol
_atom_site_fract_x
_atom_site_fract_y
_atom_site_fract_z
Y1 Y 0.050 0.083 0.378
Y2 Y 0.224 0.414 0.902
Co1 Co 0.000 0.434 0.750
Co2 Co 0.249 0.326 0.252
Mo1 Mo 0.107 0.415 0.585
N1 N 0.072 0.257 0.001
N2 N 0.250 0.250 0.500
```